No. 1
# NaCd2I

An optimized crystal structure of NaCd2I (GGA-PBE, Alexandria via LeMat-Bulk).

For the density of states at the Fermi level, the calculation gives 0.22 states/eV/f.u. The value obtained for the total magnetization is 0.000 μB per atom. For the total energy, the calculation gives -5.8 eV/f.u. The energy above the most stable polymorph in this dataset comes out at 0.000 eV per formula unit.

The structure belongs to space group I-42d (No. 122); the cell edges are 9.622, 9.622 and 5.951 Å and the angles 90.00°, 90.00° and 90.00°. The inequivalent atoms are Na at (0.000, 0.000, 0.000), Cd at (0.246, 0.750, 0.625) and I at (0.000, 0.000, 0.500).


No. 2
# Na2CdI4

An optimized crystal structure of Na2CdI4 (GGA-PBE, Alexandria via LeMat-Bulk).

The value obtained for the total magnetization is 0.000 μB per atom. For the total energy, the calculation gives -15.4 eV/f.u. The energy above the most stable polymorph in this dataset comes out at 1.038 eV per formula unit.

The structure belongs to space group I4/mmm (No. 139); the cell edges are 6.042, 6.042 and 15.914 Å and the angles 90.00°, 90.00° and 90.00°. The inequivalent atoms are Na at (0.000, 0.000, 0.127), Cd at (0.000, 0.000, 0.500), I at (0.000, 0.000, 0.318) and I at (0.000, 0.500, 0.000).


No. 3
# Na2CdI2

An optimized crystal structure of Na2CdI2 (GGA-PBE, Alexandria via LeMat-Bulk).

For the density of states at the Fermi level, the calculation gives 0.00 states/eV/f.u. The value obtained for the total magnetization is 0.000 μB per atom. For the total energy, the calculation gives -10.5 eV/f.u. The energy above the most stable polymorph in this dataset comes out at 0.061 eV per formula unit.

The structure belongs to space group I4/mmm (No. 139); the cell edges are 6.250, 6.250 and 13.400 Å and the angles 90.00°, 90.00° and 90.00°. The inequivalent atoms are Na at (0.000, 0.000, 0.239), Cd at (0.000, 0.000, 0.500) and I at (0.000, 0.500, 0.250).


No. 4
# Na12Cd3I5

An optimized crystal structure of Na12Cd3I5 (GGA-PBE, Alexandria via LeMat-Bulk).

For the density of states at the Fermi level, the calculation gives 11.57 states/eV/f.u. The value obtained for the total magnetization is 0.061 μB per atom. For the total energy, the calculation gives -35.9 eV/f.u.

The structure belongs to space group Ia-3d (No. 230); the cell edges are 18.697, 18.697 and 18.697 Å and the angles 90.00°, 90.00° and 90.00°. The inequivalent atoms are Na at (0.013, 0.074, 0.654), Cd at (0.000, 0.250, 0.125), I at (0.000, 0.000, 0.000) and I at (0.000, 0.250, 0.375).


No. 5
# NaCdI2

An optimized crystal structure of NaCdI2 (GGA-PBE, Alexandria via LeMat-Bulk).

For the density of states at the Fermi level, the calculation gives 4.25 states/eV/f.u. The value obtained for the total magnetization is 0.000 μB per atom. For the total energy, the calculation gives -7.1 eV/f.u. The energy above the most stable polymorph in this dataset comes out at 0.327 eV per formula unit.

The structure belongs to space group R-3m (No. 166, hexagonal axes); the cell edges are 5.0813, 5.0813 and 27.0249 Å and the angles 90.00°, 90.00° and 120.00°. The inequivalent atoms are Na at (0.0000, 0.0000, 0.0000), Cd at (0.0000, 0.0000, 0.5000) and I at (0.0000, 0.0000, 0.1068).


No. 6
# NaCd2I2

An optimized crystal structure of NaCd2I2 (GGA-PBE, Alexandria via LeMat-Bulk).

For the density of states at the Fermi level, the calculation gives 1.22 states/eV/f.u. The value obtained for the total magnetization is 0.000 μB per atom. For the total energy, the calculation gives -8.1 eV/f.u. The energy above the most stable polymorph in this dataset comes out at 0.353 eV per formula unit.

The structure belongs to space group I4/mmm (No. 139); the cell edges are 6.241, 6.241 and 9.501 Å and the angles 90.00°, 90.00° and 90.00°. The inequivalent atoms are Na at (0.000, 0.000, 0.000), Cd at (0.000, 0.000, 0.354) and I at (0.000, 0.500, 0.250).


No. 7
# NaCdI

An optimized crystal structure of NaCdI (GGA-PBE, Alexandria via LeMat-Bulk).

The value obtained for the total magnetization is 0.000 μB per atom. For the total energy, the calculation gives -5.5 eV/f.u. The energy above the most stable polymorph in this dataset comes out at 0.324 eV per formula unit.

The structure belongs to space group Cm (No. 8); the cell edges are 14.232, 4.332 and 7.297 Å and the angles 90.00°, 106.85° and 90.00°. The inequivalent atoms are Na at (0.000, 0.000, 0.000), Na at (0.189, 0.500, 0.732), Cd at (0.179, 0.500, 0.226), Cd at (0.318, 0.000, 0.466), I at (0.025, 0.000, 0.581) and I at (0.339, 0.000, 0.979).


No. 8
# Na2CdI2

An optimized crystal structure of Na2CdI2 (GGA-PBE, Alexandria via LeMat-Bulk).

For the density of states at the Fermi level, the calculation gives 0.00 states/eV/f.u. The value obtained for the total magnetization is 0.000 μB per atom. For the total energy, the calculation gives -10.6 eV/f.u. The energy above the most stable polymorph in this dataset comes out at 0.000 eV per formula unit.

The structure belongs to space group P4/mbm (No. 127); the cell edges are 9.066, 9.066 and 4.168 Å and the angles 90.00°, 90.00° and 90.00°. The inequivalent atoms are Na at (0.145, 0.355, 0.000), Cd at (0.000, 0.000, 0.000) and I at (0.157, 0.657, 0.500).


No. 9
# NaCd2I2

An optimized crystal structure of NaCd2I2 (GGA-PBE, Alexandria via LeMat-Bulk).

For the density of states at the Fermi level, the calculation gives 2.26 states/eV/f.u. The value obtained for the total magnetization is 0.000 μB per atom. For the total energy, the calculation gives -8.5 eV/f.u. The energy above the most stable polymorph in this dataset comes out at 0.000 eV per formula unit.

The structure belongs to space group I4/mmm (No. 139); the cell edges are 4.150, 4.150 and 19.398 Å and the angles 90.00°, 90.00° and 90.00°. The inequivalent atoms are Na at (0.000, 0.000, 0.000), Cd at (0.000, 0.500, 0.250) and I at (0.000, 0.000, 0.401).


No. 10
# NaCdI

An optimized crystal structure of NaCdI (GGA-PBE, Alexandria via LeMat-Bulk).

For the density of states at the Fermi level, the calculation gives 0.18 states/eV/f.u. The value obtained for the total magnetization is 0.000 μB per atom. For the total energy, the calculation gives -5.6 eV/f.u. The energy above the most stable polymorph in this dataset comes out at 0.263 eV per formula unit.

The structure belongs to space group Cc (No. 9); the cell edges are 6.719, 10.778 and 5.915 Å and the angles 90.00°, 92.56° and 90.00°. The inequivalent atoms are Na at (0.000, 0.138, 0.000), Cd at (0.402, 0.007, 0.315) and I at (0.356, 0.341, 0.991).


No. 11
# Na2CdNiI

An optimized crystal structure of Na2CdNiI (GGA-PBE, Alexandria via LeMat-Bulk).

For the density of states at the Fermi level, the calculation gives 1.20 states/eV/f.u. The value obtained for the total magnetization is 0.000 μB per atom. For the total energy, the calculation gives -11.1 eV/f.u.

The structure belongs to space group P4/mmm (No. 123); the cell edges are 5.561, 5.561 and 4.924 Å and the angles 90.00°, 90.00° and 90.00°. The inequivalent atoms are Na at (0.000, 0.500, 0.000), Cd at (0.000, 0.000, 0.500), Ni at (0.000, 0.000, 0.000) and I at (0.500, 0.500, 0.500).


No. 12
# NaCdIO2

An optimized crystal structure of NaCdIO2 (GGA-PBE, Alexandria via LeMat-Bulk).

For the density of states at the Fermi level, the calculation gives 6.34 states/eV/f.u. The value obtained for the total magnetization is 0.368 μB per atom. For the total energy, the calculation gives -15.3 eV/f.u. The energy above the most stable polymorph in this dataset comes out at 0.000 eV per formula unit.

The structure belongs to space group P4/mmm (No. 123); the cell edges are 4.363, 4.363 and 6.326 Å and the angles 90.00°, 90.00° and 90.00°. The inequivalent atoms are Na at (0.000, 0.000, 0.000), Cd at (0.500, 0.500, 0.500), I at (0.500, 0.500, 0.000) and O at (0.000, 0.500, 0.500).


No. 13
# Na3Cd2IO6

An optimized crystal structure of Na3Cd2IO6 (GGA-PBE, Alexandria via LeMat-Bulk).

For the density of states at the Fermi level, the calculation gives 0.00 states/eV/f.u. The value obtained for the total magnetization is 0.000 μB per atom. For the total energy, the calculation gives -50.2 eV/f.u.

The structure belongs to space group C2/m (No. 12); the cell edges are 5.862, 10.117 and 5.885 Å and the angles 90.00°, 109.78° and 90.00°. The inequivalent atoms are Na at (0.000, 0.000, 0.000), Na at (0.000, 0.332, 0.000), Cd at (0.000, 0.167, 0.500), I at (0.000, 0.500, 0.500), O at (0.225, 0.348, 0.721) and O at (0.231, 0.500, 0.285).


No. 14
# NaCdIO2

An optimized crystal structure of NaCdIO2 (GGA-PBE, Alexandria via LeMat-Bulk).

For the density of states at the Fermi level, the calculation gives 7.22 states/eV/f.u. The value obtained for the total magnetization is 0.497 μB per atom. For the total energy, the calculation gives -12.7 eV/f.u. The energy above the most stable polymorph in this dataset comes out at 2.550 eV per formula unit.

The structure belongs to space group P4/mmm (No. 123); the cell edges are 4.390, 4.390 and 6.058 Å and the angles 90.00°, 90.00° and 90.00°. The inequivalent atoms are Na at (0.000, 0.000, 0.000), Cd at (0.500, 0.500, 0.500), I at (0.000, 0.000, 0.500) and O at (0.000, 0.500, 0.000).


No. 15
# NaCdI2O

An optimized crystal structure of NaCdI2O (GGA-PBE, Alexandria via LeMat-Bulk).

For the density of states at the Fermi level, the calculation gives 6.52 states/eV/f.u. The value obtained for the total magnetization is 0.204 μB per atom. For the total energy, the calculation gives -12.8 eV/f.u. The energy above the most stable polymorph in this dataset comes out at 0.000 eV per formula unit.

The structure belongs to space group P4/mmm (No. 123); the cell edges are 6.074, 6.074 and 4.238 Å and the angles 90.00°, 90.00° and 90.00°. The inequivalent atoms are Na at (0.000, 0.000, 0.000), Cd at (0.500, 0.500, 0.500), I at (0.000, 0.500, 0.500) and O at (0.500, 0.500, 0.000).


No. 16
# Na2CdIO4

An optimized crystal structure of Na2CdIO4 (GGA-PBE, Alexandria via LeMat-Bulk).

For the density of states at the Fermi level, the calculation gives 1.88 states/eV/f.u. The value obtained for the total magnetization is 0.130 μB per atom. For the total energy, the calculation gives -32.0 eV/f.u.

The structure belongs to space group I-4 (No. 82); the cell edges are 6.106, 6.106 and 6.697 Å and the angles 90.00°, 90.00° and 90.00°. The inequivalent atoms are Na at (0.000, 0.000, 0.000), Na at (0.000, 0.500, 0.250), Cd at (0.000, 0.500, 0.750), I at (0.000, 0.000, 0.500) and O at (0.174, 0.289, 0.526).


No. 17
# Na3Cd3IO8

An optimized crystal structure of Na3Cd3IO8 (GGA-PBE, Alexandria via LeMat-Bulk).

The value obtained for the total magnetization is 0.000 μB per atom. For the total energy, the calculation gives -64.5 eV/f.u.

The structure belongs to space group R-3m (No. 166, hexagonal axes); the cell edges are 6.8060, 6.8060 and 16.4673 Å and the angles 90.00°, 90.00° and 120.00°. The inequivalent atoms are Na at (0.0000, 0.5000, 0.0000), Cd at (0.0000, 0.5000, 0.5000), I at (0.0000, 0.0000, 0.5000), O at (0.0000, 0.0000, 0.2325) and O at (0.0682, 0.5341, 0.2349).


No. 18
# NaCdI2O

An optimized crystal structure of NaCdI2O (GGA-PBE, Alexandria via LeMat-Bulk).

For the density of states at the Fermi level, the calculation gives 3.66 states/eV/f.u. The value obtained for the total magnetization is 0.307 μB per atom. For the total energy, the calculation gives -10.5 eV/f.u. The energy above the most stable polymorph in this dataset comes out at 2.353 eV per formula unit.

The structure belongs to space group P4/mmm (No. 123); the cell edges are 5.909, 5.909 and 4.325 Å and the angles 90.00°, 90.00° and 90.00°. The inequivalent atoms are Na at (0.000, 0.000, 0.000), Cd at (0.500, 0.500, 0.500), I at (0.000, 0.500, 0.000) and O at (0.000, 0.000, 0.500).


No. 19
# NaPaCdI6

An optimized crystal structure of NaPaCdI6 (GGA-PBE, Alexandria via LeMat-Bulk).

For the density of states at the Fermi level, the calculation gives 2.95 states/eV/f.u. The value obtained for the total magnetization is 0.013 μB per atom. For the total energy, the calculation gives -28.6 eV/f.u.

The structure belongs to space group P-31c (No. 163); the cell edges are 8.0107, 8.0107 and 15.6235 Å and the angles 90.00°, 90.00° and 120.00°. The inequivalent atoms are Na at (0.3333, 0.6667, 0.2500), Pa at (0.3333, 0.6667, 0.7500), Cd at (0.0000, 0.0000, 0.0000) and I at (0.0269, 0.3695, 0.6381).


No. 20
# NaPmCdI6

An optimized crystal structure of NaPmCdI6 (GGA-PBE, Alexandria via LeMat-Bulk).

For the density of states at the Fermi level, the calculation gives 0.00 states/eV/f.u. The value obtained for the total magnetization is 0.000 μB per atom. For the total energy, the calculation gives -25.9 eV/f.u.

The structure belongs to space group P-31c (No. 163); the cell edges are 7.7787, 7.7787 and 14.5484 Å and the angles 90.00°, 90.00° and 120.00°. The inequivalent atoms are Na at (0.0000, 0.0000, 0.0000), Pm at (0.3333, 0.6667, 0.2500), Cd at (0.3333, 0.6667, 0.7500) and I at (0.0075, 0.3562, 0.6286).